Tb3DySb2C | PBE | relaxed

* total energy: -41.42 eV per formula unit
* magnetization: 0.000 μB/f.u.
* formation energy from raw total energies: -0.780 eV/atom

Lattice parameters (Å, degrees): 4.793 4.814 15.828 90.00 90.00 90.00
Space group Immm (No. 71)
Inequivalent atoms, fractional coordinates:
1 Tb 0.000 0.000 0.000 (multiplicity 2)
2 Tb 0.000 0.500 0.158 (multiplicity 4)
3 Dy 0.000 0.000 0.500 (multiplicity 2)
4 Sb 0.000 0.500 0.358 (multiplicity 4)
5 C 0.000 0.500 0.000 (multiplicity 2)


Dy4TlSbC | PBE | relaxed

* total energy: -38.37 eV per formula unit
* magnetization: 0.000 μB/f.u.
* formation energy from raw total energies: -0.607 eV/atom

Lattice parameters (Å, degrees): 6.799 15.854 6.795 90.00 90.00 90.00
Space group Cmcm (No. 63)
Inequivalent atoms, fractional coordinates:
1 Dy 0.000 0.089 0.250 (multiplicity 4)
2 Dy 0.000 0.408 0.250 (multiplicity 4)
3 Dy 0.250 0.250 0.000 (multiplicity 8)
4 Tl 0.000 0.110 0.750 (multiplicity 4)
5 Sb 0.000 0.391 0.750 (multiplicity 4)
6 C 0.000 0.251 0.250 (multiplicity 4)


Dy3TmSb2C | PBE | relaxed

* total energy: -41.29 eV per formula unit
* magnetization: 0.001 μB/f.u.
* formation energy from raw total energies: -0.792 eV/atom

Lattice parameters (Å, degrees): 4.721 4.782 15.753 90.00 90.00 90.00
Space group Immm (No. 71)
Inequivalent atoms, fractional coordinates:
1 Dy 0.000 0.000 0.000 (multiplicity 2)
2 Dy 0.000 0.500 0.158 (multiplicity 4)
3 Tm 0.000 0.000 0.500 (multiplicity 2)
4 Sb 0.000 0.500 0.358 (multiplicity 4)
5 C 0.000 0.500 0.000 (multiplicity 2)